# Ti2AgMo PBE optimized geometry
data_Ti2AgMo
_chemical_formula_sum 'Ti8 Ag4 Mo4'
_space_group_name_H-M_alt 'I -4 2 d'
_space_group_IT_number 122
_space_group_name_Hall 'I -4 2bw'
_cell_length_a 3.9592
_cell_length_b 3.9592
_cell_length_c 18.3002
_cell_angle_alpha 90.00
_cell_angle_beta 90.00
_cell_angle_gamma 90.00
loop_
_atom_site_label
_atom_site_fract_x
_atom_site_fract_y
_atom_site_fract_z
Ti1 0.2340 0.2500 0.1250
Ag1 0.0000 0.0000 0.5000
Mo1 0.0000 0.0000 0.0000
# ΔE to the lowest computed polymorph   746.2 meV/atom

=====

DFT (PBE) results for an optimized crystal structure of Ti5AgMo4.

Geometry as CIF:
```
data_Ti5AgMo4
_chemical_formula_sum 'Ti5 Ag1 Mo4'
_space_group_name_H-M_alt 'P 4/m m m'
_space_group_IT_number 123
_space_group_name_Hall '-P 4 2'
_cell_length_a 3.1910
_cell_length_b 3.1910
_cell_length_c 15.9494
_cell_angle_alpha 90.00
_cell_angle_beta 90.00
_cell_angle_gamma 90.00
loop_
_atom_site_label
_atom_site_fract_x
_atom_site_fract_y
_atom_site_fract_z
Ti1 0.0000 0.0000 0.0000
Ti2 0.0000 0.0000 0.1972
Ti3 0.0000 0.0000 0.3845
Ag1 0.5000 0.5000 0.5000
Mo1 0.5000 0.5000 0.0967
Mo2 0.5000 0.5000 0.2963
```

=====

# TiAgMo PBE optimized geometry
data_TiAgMo
_chemical_formula_sum 'Ti4 Ag4 Mo4'
_space_group_name_H-M_alt 'A m m 2'
_space_group_IT_number 38
_cell_length_a 13.9737
_cell_length_b 3.2279
_cell_length_c 4.4092
_cell_angle_alpha 90.00
_cell_angle_beta 90.00
_cell_angle_gamma 90.00
loop_
_space_group_symop_operation_xyz
'x,y,z'
'-x,-y,z'
'-x,y,z'
'x,-y,z'
'x,y+1/2,z+1/2'
'-x,-y+1/2,z+1/2'
'-x,y+1/2,z+1/2'
'x,-y+1/2,z+1/2'
loop_
_atom_site_label
_atom_site_fract_x
_atom_site_fract_y
_atom_site_fract_z
Ti1 0.0000 0.0000 0.0000
Ti2 0.5000 0.0000 0.4935
Ag1 0.3307 0.0000 0.9954
Mo1 0.1575 0.0000 0.5001
# ΔE to the lowest computed polymorph   106.7 meV/atom

=====

# Ti2AgMo PBE optimized geometry
data_Ti2AgMo
_chemical_formula_sum 'Ti8 Ag4 Mo4'
_space_group_name_H-M_alt 'F m -3 m'
_space_group_IT_number 225
_space_group_name_Hall '-F 4 2 3'
_cell_length_a 6.3971
_cell_length_b 6.3971
_cell_length_c 6.3971
_cell_angle_alpha 90.00
_cell_angle_beta 90.00
_cell_angle_gamma 90.00
loop_
_atom_site_label
_atom_site_fract_x
_atom_site_fract_y
_atom_site_fract_z
Ti1 0.2500 0.2500 0.2500
Ag1 0.0000 0.0000 0.0000
Mo1 0.0000 0.0000 0.5000
# ΔE to the lowest computed polymorph   96.0 meV/atom

=====

| no. | V (Å³/atom) | formation energy from the elements (kJ/mol of atoms) |
| --- | --- | --- |
| 1 | 17.929 | 63 |
| 2 | 16.241 | -7 |
| 3 | 16.573 | 16 |
| 4 | 16.361 | 0 |